First-principles (GGA-PBE) data for a relaxed RbYAs2Se crystal, as listed in the Alexandria database.

Structure (POSCAR):
```
RbYAs2Se
1.0
5.5489 0.0000 0.0000
0.0000 5.5489 0.0000
0.0000 0.0000 5.5797
Se As Rb Y
1 2 1 1
direct
0.0000 0.0000 0.5000
0.0000 0.5000 0.0000
0.5000 0.0000 0.0000
0.5000 0.5000 0.5000
0.0000 0.0000 0.0000
```

- Polymorph energy (0 for the lowest one): 0.00 eV per formula unit
- Electronic total energy: -0.1638 hartree per atom
- Formation energy from raw total energies: -415 meV/atom
- Magnetization: 0.818 μB/cell
- Symmetry: No. 123

First-principles (GGA-PBE) data for a relaxed TmPa2Nb crystal, as listed in the Alexandria database.

Structure (POSCAR):
```
TmPa2Nb
1.0
5.0915 0.0000 0.0000
2.5458 4.4094 0.0000
2.5458 1.4698 4.3562
Pa Nb Tm
2 1 1
direct
0.2465 0.2465 0.2606
0.7535 0.7535 0.7394
0.5000 0.5000 0.5000
0.0000 0.0000 0.0000
```

- Polymorph energy (0 for the lowest one): 0.70 eV per formula unit
- Electronic total energy: -0.2926 hartree per atom
- Magnetization: 0.000 μB/cell
- Symmetry: No. 166

First-principles (GGA-PBE) data for a relaxed Tb2Er3Se8 crystal, as listed in the Alexandria database.

Structure (POSCAR):
```
Tb2Er3Se8
1.0
-4.1105 -5.5915 -0.4371
1.7250 -0.6460 -7.9585
5.7729 -1.7302 5.5841
Se Tb Er
8 2 3
direct
0.5868 0.6390 0.7561
0.9219 0.1173 0.2345
0.0781 0.8827 0.7655
0.5868 0.1171 0.7561
0.4132 0.3610 0.2439
0.4132 0.8829 0.2439
0.9128 0.6198 0.2396
0.0872 0.3802 0.7604
0.6630 0.7420 0.4841
0.3370 0.2580 0.5159
0.0000 0.2610 0.0000
0.5000 0.0000 0.0000
0.0000 0.7390 0.0000
```

- Electronic total energy: -0.2067 hartree per atom
- Formation energy from raw total energies: -1715 meV/atom
- Magnetization: 0.000 μB/cell
- Symmetry: No. 12

First-principles (GGA-PBE) data for a relaxed TaCd2InH crystal, as listed in the Alexandria database.

Structure (POSCAR):
```
TaCd2InH
1.0
-4.7245 -1.1651 2.9870
1.8913 -1.6432 2.3505
0.6316 4.8769 2.9013
H Cd Ta In
1 2 1 1
direct
0.0000 0.5000 0.0000
0.0000 0.0000 0.5000
0.5000 0.0000 0.0000
0.0000 0.0000 0.0000
0.5000 0.5000 0.5000
```

- Polymorph energy (0 for the lowest one): 0.66 eV per formula unit
- Electronic total energy: -0.1215 hartree per atom
- Magnetization: 0.000 μB/cell
- Symmetry: No. 123